Y2MnAlAg, optimized geometry, DFT PBE; energy relative to the elements = 845 meV per atom; energy = -4.89 eV per atom; symmetry = P4/mmm
1.0
5.428 0.000 0.000
0.000 5.428 0.000
0.000 0.000 4.658
Y Mn Al Ag
2 1 1 1
Direct
0.000 0.500 0.000
0.500 0.000 0.000
0.000 0.000 0.500
0.500 0.500 0.500
0.000 0.000 0.000

Na2Cd2Pb, optimized geometry, DFT PBE; energy relative to the elements = 64 meV per atom; energy = -1.57 eV per atom; relative energy among the computed polymorphs = 194.4 meV/atom; symmetry = I4/mmm
1.0
-2.192 2.192 7.449
2.192 -2.192 7.449
2.192 2.192 -7.449
Na Cd Pb
2 2 1
Direct
0.250 0.750 0.500
0.750 0.250 0.500
0.097 0.097 0.000
0.903 0.903 0.000
0.500 0.500 0.000

Nd5Ag2Sn5, optimized geometry, DFT PBE; energy relative to the elements = -514 meV per atom; energy = -4.64 eV per atom; symmetry = C2/m
1.0
6.285 -2.336 0.000
6.285 2.336 0.000
-4.994 0.000 11.489
Nd Ag Sn
5 2 5
Direct
0.000 0.000 0.000
0.343 0.343 0.504
0.382 0.382 0.229
0.618 0.618 0.771
0.657 0.657 0.496
0.279 0.279 0.720
0.721 0.721 0.280
0.000 0.000 0.500
0.091 0.091 0.283
0.293 0.293 0.950
0.707 0.707 0.050
0.909 0.909 0.717

Zn3CrCo6, optimized geometry, DFT PBE; energy relative to the elements = 221 meV per atom; energy = -5.39 eV per atom; symmetry = P6/mmm
1.0
4.778 0.000 0.000
-2.389 4.138 0.000
0.000 0.000 6.421
Zn Cr Co
3 1 6
Direct
0.000 0.000 0.000
0.333 0.667 0.000
0.667 0.333 0.000
0.000 0.000 0.500
0.000 0.500 0.325
0.000 0.500 0.675
0.500 0.000 0.325
0.500 0.000 0.675
0.500 0.500 0.325
0.500 0.500 0.675

RbBa2Tl, optimized geometry, DFT PBE; energy relative to the elements = -44 meV per atom; energy = -1.84 eV per atom; relative energy among the computed polymorphs = 158.1 meV/atom; symmetry = Fm-3m
1.0
0.000 4.558 4.558
4.558 0.000 4.558
4.558 4.558 0.000
Rb Ba Tl
1 2 1
Direct
0.000 0.000 0.000
0.250 0.250 0.250
0.750 0.750 0.750
0.500 0.500 0.500

Mg2ScBeH, optimized geometry, DFT PBE; energy = -2.47 eV per atom; symmetry = P4/mmm
1.0
5.653 0.000 0.000
0.000 5.653 0.000
0.000 0.000 3.440
Mg Sc Be H
2 1 1 1
Direct
0.000 0.500 0.000
0.500 0.000 0.000
0.000 0.000 0.000
0.500 0.500 0.500
0.000 0.000 0.500

PmNdSm2Er2, optimized geometry, DFT PBE; energy relative to the elements = 268 meV per atom; energy = -4.41 eV per atom; symmetry = Pnnm
1.0
6.588 0.000 0.000
0.000 18.096 0.000
0.000 0.000 3.418
Pm Nd Sm Er
2 2 4 4
Direct
0.000 0.000 0.000
0.500 0.500 0.500
0.000 0.500 0.000
0.500 0.000 0.500
0.224 0.188 0.000
0.276 0.688 0.500
0.724 0.312 0.500
0.776 0.812 0.000
0.223 0.352 0.500
0.277 0.852 0.000
0.723 0.148 0.000
0.777 0.648 0.500

BaMgAg, optimized geometry, DFT PBE; energy relative to the elements = -201 meV per atom; energy = -2.32 eV per atom; symmetry = I4/mmm
1.0
-2.393 2.393 8.445
2.393 -2.393 8.445
2.393 2.393 -8.445
Ba Mg Ag
2 2 2
Direct
0.169 0.169 0.000
0.831 0.831 0.000
0.000 0.500 0.500
0.500 0.000 0.500
0.400 0.400 0.000
0.600 0.600 0.000

What volume values result from the calculations? In sequence: 137.3; 143.2; 337.4; 127.0; 189.4; 109.9; 407.4; 193.5 Å³/cell.